[1]
SrMgSi2O | PBE | relaxed

Crystal system = tetragonal

Cell lengths 5.690, 5.690, 6.417 Å; angles 90.00, 90.00, 90.00 degrees
Space group P4/mmm (No. 123)
Unique sites:
Sr 0.000 0.000 0.000 (multiplicity 1)
Mg 0.000 0.000 0.500 (multiplicity 1)
Si 0.000 0.500 0.000 (multiplicity 2)
O 0.500 0.500 0.500 (multiplicity 1)

***

[2]
SrMg6SiO8 | PBE | relaxed

Polymorph energy (0 for the lowest one) = 0.0000 eV per atom
Crystal system = tetragonal

Cell lengths 4.516, 4.516, 8.897 Å; angles 90.00, 90.00, 90.00 degrees
Space group P4/mmm (No. 123)
Unique sites:
Sr 0.000 0.000 0.000 (multiplicity 1)
Mg 0.000 0.000 0.500 (multiplicity 1)
Mg 0.000 0.500 0.266 (multiplicity 4)
Mg 0.500 0.500 0.500 (multiplicity 1)
Si 0.500 0.500 0.000 (multiplicity 1)
O 0.000 0.000 0.274 (multiplicity 2)
O 0.000 0.500 0.000 (multiplicity 2)
O 0.000 0.500 0.500 (multiplicity 2)
O 0.500 0.500 0.266 (multiplicity 2)

***

[3]
SrMg6SiO8 | PBE | relaxed

Polymorph energy (0 for the lowest one) = 0.0327 eV per atom
Crystal system = tetragonal

Cell lengths 4.568, 4.568, 8.717 Å; angles 90.00, 90.00, 90.00 degrees
Space group P4/mmm (No. 123)
Unique sites:
Sr 0.000 0.000 0.000 (multiplicity 1)
Mg 0.000 0.500 0.261 (multiplicity 4)
Mg 0.500 0.500 0.000 (multiplicity 1)
Mg 0.500 0.500 0.500 (multiplicity 1)
Si 0.000 0.000 0.500 (multiplicity 1)
O 0.000 0.000 0.271 (multiplicity 2)
O 0.000 0.500 0.000 (multiplicity 2)
O 0.000 0.500 0.500 (multiplicity 2)
O 0.500 0.500 0.252 (multiplicity 2)

***

So what do the calculations give for uncorrected formation energy? Going down the list: 183 -217 -214 kJ/mol of atoms.